# ReHg2HO6

An optimized crystal structure of ReHg2HO6 (GGA-PBE, Alexandria via LeMat-Bulk).

Unit cell a=6.5310 b=6.5247 c=5.7254 alpha=105.63 beta=111.91 gamma=115.86
Element x y z (fractional)
H1 0.7983 0.4083 0.2070
O1 0.6874 0.1917 0.8797
O2 0.0901 0.1667 0.8336
O3 0.1015 0.2729 0.3690
O4 0.8630 0.5448 0.4079
O5 0.6691 0.7452 0.8393
O6 0.2223 0.9286 0.1489
Hg1 0.7742 0.3513 0.6346
Hg2 0.2831 0.8596 0.6346
Re1 0.0099 0.0348 0.0434

Results
**DFT total energy**: -5.6039 eV per atom
**Density of states at the Fermi level**: 0.00 states/eV per cell
**V**: 174.3 Å³/cell